Arrangement P

Compound: Mg2BeP
Source: Alexandria
Functional: GGA-PBE
Structure: optimized geometry

Unit cell a=3.722 b=5.148 c=7.348 alpha=90.00 beta=90.00 gamma=90.00
Space group Cmm2 (No. 35)
Unique sites:
Mg 0.000 0.000 0.000
Mg 0.000 0.500 0.342
Be 0.000 0.500 0.741
P 0.000 0.000 0.614

---

Arrangement Q

Compound: Mg2BeP
Source: Alexandria
Functional: GGA-PBE
Structure: optimized geometry

Unit cell a=6.198 b=3.576 c=6.790 alpha=90.00 beta=109.38 gamma=90.00
Space group Cm (No. 8)
Unique sites:
Mg 0.000 0.000 0.000
Mg 0.211 0.000 0.635
Be 0.267 0.500 0.313
P 0.438 0.000 0.325

---

Energy above the most stable structure, in meV/atom: arrangement P 303; arrangement Q 0

---

Arrangement P

Compound: MgBeP3
Source: Alexandria
Functional: GGA-PBE
Structure: optimized geometry

Unit cell a=4.337 b=4.337 c=4.337 alpha=90.00 beta=90.00 gamma=90.00
Space group Pm-3m (No. 221)
Unique sites:
Mg 0.000 0.000 0.000
Be 0.500 0.500 0.500
P 0.000 0.500 0.500

---

Arrangement Q

Compound: MgBeP3
Source: Alexandria
Functional: GGA-PBE
Structure: optimized geometry

Unit cell a=4.725 b=4.725 c=4.725 alpha=90.00 beta=90.00 gamma=90.00
Space group Pm-3m (No. 221)
Unique sites:
Mg 0.000 0.000 0.000
Be 0.500 0.500 0.500
P 0.000 0.000 0.500

---

Energy above the most stable structure, in meV/atom: arrangement P 0; arrangement Q 929

---

Arrangement P

Compound: MgBePS2
Source: Alexandria
Functional: GGA-PBE
Structure: optimized geometry

Unit cell a=4.669 b=4.669 c=3.943 alpha=90.00 beta=90.00 gamma=90.00
Space group P4/mmm (No. 123)
Unique sites:
Mg 0.000 0.000 0.000
Be 0.500 0.500 0.500
P 0.500 0.500 0.000
S 0.000 0.500 0.500

---

Arrangement Q

Compound: MgBePS2
Source: Alexandria
Functional: GGA-PBE
Structure: optimized geometry

Unit cell a=4.705 b=4.705 c=4.832 alpha=90.00 beta=90.00 gamma=90.00
Space group P4/mmm (No. 123)
Unique sites:
Mg 0.000 0.000 0.000
Be 0.500 0.500 0.500
P 0.000 0.000 0.500
S 0.000 0.500 0.000

---

Energy above the most stable structure, in meV/atom: arrangement P 0; arrangement Q 860

---

Arrangement P

Compound: MgBeP2S
Source: Alexandria
Functional: GGA-PBE
Structure: optimized geometry

Unit cell a=4.770 b=4.770 c=4.698 alpha=90.00 beta=90.00 gamma=90.00
Space group P4/mmm (No. 123)
Unique sites:
Mg 0.000 0.000 0.000
Be 0.500 0.500 0.500
P 0.000 0.500 0.000
S 0.000 0.000 0.500

---

Arrangement Q

Compound: MgBeP2S
Source: Alexandria
Functional: GGA-PBE
Structure: optimized geometry

Unit cell a=3.892 b=3.892 c=7.457 alpha=90.00 beta=90.00 gamma=90.00
Space group P4/mmm (No. 123)
Unique sites:
Mg 0.000 0.000 0.000
Be 0.500 0.500 0.500
P 0.000 0.500 0.500
S 0.500 0.500 0.000

---

Energy above the most stable structure, in meV/atom: arrangement P 918; arrangement Q 0

---

Arrangement P

Compound: MgBePb2
Source: Alexandria
Functional: GGA-PBE
Structure: optimized geometry

Unit cell a=4.269 b=5.314 c=8.409 alpha=90.00 beta=90.00 gamma=90.00
Space group Cmmm (No. 65)
Unique sites:
Mg 0.000 0.000 0.000
Be 0.000 0.000 0.500
Pb 0.000 0.500 0.289

---

Arrangement Q

Compound: MgBePb2
Source: Alexandria
Functional: GGA-PBE
Structure: optimized geometry

Unit cell a=4.0153 b=4.0153 c=20.9012 alpha=90.00 beta=90.00 gamma=120.00
Space group R-3m (No. 166, hexagonal axes)
Unique sites:
Mg 0.0000 0.0000 0.0000
Be 0.0000 0.0000 0.5000
Pb 0.0000 0.0000 0.2313

---

Energy above the most stable structure, in meV/atom: arrangement P 5; arrangement Q 0

---

Arrangement P

Compound: MgBePb2
Source: Alexandria
Functional: GGA-PBE
Structure: optimized geometry

Unit cell a=6.670 b=8.192 c=3.455 alpha=90.00 beta=90.22 gamma=90.00
Space group C2/m (No. 12)
Unique sites:
Mg 0.000 0.000 0.000
Be 0.000 0.500 0.000
Pb 0.250 0.250 0.500

---

Arrangement Q

Compound: MgBePb2
Source: Alexandria
Functional: GGA-PBE
Structure: optimized geometry

Unit cell a=8.909 b=8.909 c=5.138 alpha=90.00 beta=90.00 gamma=90.00
Space group I-42d (No. 122)
Unique sites:
Mg 0.000 0.000 0.000
Be 0.000 0.000 0.500
Pb 0.140 0.250 0.625

---

Energy above the most stable structure, in meV/atom: arrangement P 97; arrangement Q 0

---

Arrangement P

Compound: MgBePb2
Source: Alexandria
Functional: GGA-PBE
Structure: optimized geometry

Unit cell a=4.391 b=4.391 c=9.884 alpha=90.00 beta=90.00 gamma=90.00
Space group I-4m2 (No. 119)
Unique sites:
Mg 0.000 0.000 0.000
Be 0.000 0.500 0.250
Pb 0.000 0.000 0.500
Pb 0.000 0.500 0.750

---

Arrangement Q

Compound: MgBePb2
Source: Alexandria
Functional: GGA-PBE
Structure: optimized geometry

Unit cell a=4.114 b=4.270 c=5.723 alpha=90.00 beta=110.65 gamma=90.00
Space group Pm (No. 6)
Unique sites:
Mg 0.000 0.000 0.000
Be 0.837 0.500 0.695
Pb 0.290 0.000 0.575
Pb 0.581 0.500 0.165

---

Arrangement R

Compound: MgBePb2
Source: Alexandria
Functional: GGA-PBE
Structure: optimized geometry

Unit cell a=3.5527 b=3.5527 c=26.9163 alpha=90.00 beta=90.00 gamma=120.00
Space group R3m (No. 160, hexagonal axes)
Unique sites:
Mg 0.0000 0.0000 0.0000
Be 0.0000 0.0000 0.2692
Pb 0.0000 0.0000 0.5365
Pb 0.0000 0.0000 0.7659

---

Arrangement S

Compound: MgBePb2
Source: Alexandria
Functional: GGA-PBE
Structure: optimized geometry

Unit cell a=9.519 b=3.432 c=6.661 alpha=90.00 beta=113.01 gamma=90.00
Space group Cm (No. 8)
Unique sites:
Mg 0.000 0.000 0.000
Be 0.286 0.000 0.006
Pb 0.131 0.500 0.669
Pb 0.309 0.500 0.335

---

Energy above the most stable structure, in meV/atom: arrangement P 98; arrangement Q 21; arrangement R 50; arrangement S 0

---

Arrangement P

Compound: MgBePb2
Source: Alexandria
Functional: GGA-PBE
Structure: optimized geometry

Unit cell a=3.415 b=3.415 c=8.124 alpha=90.00 beta=90.00 gamma=90.00
Space group P4/mmm (No. 123)
Unique sites:
Mg 0.000 0.000 0.000
Be 0.000 0.000 0.500
Pb 0.500 0.500 0.284

---

Arrangement Q

Compound: MgBePb2
Source: Alexandria
Functional: GGA-PBE
Structure: optimized geometry

Unit cell a=4.767 b=4.767 c=8.300 alpha=90.00 beta=90.00 gamma=90.00
Space group I4/mmm (No. 139)
Unique sites:
Mg 0.000 0.000 0.000
Be 0.000 0.000 0.500
Pb 0.000 0.500 0.250

---

Energy above the most stable structure, in meV/atom: arrangement P 0; arrangement Q 46

---

Arrangement P

Compound: MgBePb2
Source: Alexandria
Functional: GGA-PBE
Structure: optimized geometry

Unit cell a=3.442 b=4.333 c=12.915 alpha=90.00 beta=90.00 gamma=90.00
Space group Imm2 (No. 44)
Unique sites:
Mg 0.000 0.000 0.000
Be 0.000 0.500 0.306
Pb 0.000 0.000 0.627
Pb 0.000 0.500 0.831

---

Arrangement Q

Compound: MgBePb2
Source: Alexandria
Functional: GGA-PBE
Structure: optimized geometry

Unit cell a=7.223 b=7.223 c=7.223 alpha=90.00 beta=90.00 gamma=90.00
Space group Fm-3m (No. 225)
Unique sites:
Mg 0.000 0.000 0.000
Be 0.000 0.000 0.500
Pb 0.250 0.250 0.250

---

Energy above the most stable structure, in meV/atom: arrangement P 0; arrangement Q 76

---

Arrangement P

Compound: MgBe2Pb
Source: Alexandria
Functional: GGA-PBE
Structure: optimized geometry

Unit cell a=5.621 b=7.782 c=3.252 alpha=90.00 beta=90.00 gamma=90.00
Space group Cmmm (No. 65)
Unique sites:
Mg 0.000 0.000 0.000
Be 0.250 0.250 0.500
Pb 0.000 0.500 0.000

---

Arrangement Q

Compound: MgBe2Pb
Source: Alexandria
Functional: GGA-PBE
Structure: optimized geometry

Unit cell a=3.290 b=4.002 c=5.514 alpha=90.00 beta=90.00 gamma=90.00
Space group Pmmm (No. 47)
Unique sites:
Mg 0.000 0.000 0.000
Be 0.500 0.500 0.191
Pb 0.500 0.000 0.500

---

Energy above the most stable structure, in meV/atom: arrangement P 138; arrangement Q 0

---

Arrangement P

Compound: MgBe2Pb
Source: Alexandria
Functional: GGA-PBE
Structure: optimized geometry

Unit cell a=4.311 b=4.311 c=17.623 alpha=90.00 beta=90.00 gamma=90.00
Space group I-42d (No. 122)
Unique sites:
Mg 0.000 0.000 0.000
Be 0.003 0.750 0.125
Pb 0.000 0.000 0.500

---

Arrangement Q

Compound: MgBe2Pb
Source: Alexandria
Functional: GGA-PBE
Structure: optimized geometry

Unit cell a=3.841 b=3.891 c=9.226 alpha=90.00 beta=90.00 gamma=90.00
Space group Amm2 (No. 38)
Unique sites:
Mg 0.000 0.000 0.000
Be 0.000 0.000 0.699
Be 0.500 0.000 0.588
Pb 0.500 0.000 0.289

---

Arrangement R

Compound: MgBe2Pb
Source: Alexandria
Functional: GGA-PBE
Structure: optimized geometry

Unit cell a=8.688 b=3.353 c=5.120 alpha=90.00 beta=99.08 gamma=90.00
Space group C2/m (No. 12)
Unique sites:
Mg 0.000 0.000 0.000
Be 0.234 0.500 0.140
Pb 0.000 0.500 0.500

---

Energy above the most stable structure, in meV/atom: arrangement P 274; arrangement Q 0; arrangement R 190

---

Arrangement P

Compound: MgBe2Pb
Source: Alexandria
Functional: GGA-PBE
Structure: optimized geometry

Unit cell a=3.053 b=3.132 c=7.430 alpha=90.00 beta=90.00 gamma=90.00
Space group Pmm2 (No. 25)
Unique sites:
Mg 0.000 0.000 0.000
Be 0.000 0.000 0.651
Be 0.500 0.500 0.759
Pb 0.500 0.500 0.362

---

Arrangement Q

Compound: MgBe2Pb
Source: Alexandria
Functional: GGA-PBE
Structure: optimized geometry

Unit cell a=6.588 b=6.588 c=6.588 alpha=90.00 beta=90.00 gamma=90.00
Space group F-43m (No. 216)
Unique sites:
Mg 0.000 0.000 0.000
Be 0.000 0.000 0.500
Be 0.250 0.250 0.750
Pb 0.250 0.250 0.250

---

Energy above the most stable structure, in meV/atom: arrangement P 0; arrangement Q 246

---

Arrangement P

Compound: MgBe2Pb
Source: Alexandria
Functional: GGA-PBE
Structure: optimized geometry

Unit cell a=3.782 b=3.847 c=10.434 alpha=90.00 beta=90.00 gamma=90.00
Space group Imm2 (No. 44)
Unique sites:
Mg 0.000 0.000 0.000
Be 0.000 0.000 0.578
Be 0.000 0.500 0.171
Pb 0.000 0.500 0.759

---

Arrangement Q

Compound: MgBe2Pb
Source: Alexandria
Functional: GGA-PBE
Structure: optimized geometry

Unit cell a=6.587 b=6.587 c=6.587 alpha=90.00 beta=90.00 gamma=90.00
Space group Fm-3m (No. 225)
Unique sites:
Mg 0.000 0.000 0.000
Be 0.250 0.250 0.250
Pb 0.000 0.000 0.500

---

Arrangement R

Compound: MgBe2Pb
Source: Alexandria
Functional: GGA-PBE
Structure: optimized geometry

Unit cell a=4.158 b=4.158 c=7.988 alpha=90.00 beta=90.00 gamma=90.00
Space group I4/mmm (No. 139)
Unique sites:
Mg 0.000 0.000 0.000
Be 0.000 0.500 0.250
Pb 0.000 0.000 0.500

---

Energy above the most stable structure, in meV/atom: arrangement P 0; arrangement Q 177; arrangement R 121